Density functional theory data (PBE) for a relaxed Ag3PtSe crystal.

Unit cell a=5.0808 b=5.0808 c=5.0808 alpha=90.00 beta=90.00 gamma=90.00
Atoms (fractional coordinates):
Ag1 0.0000 0.0000 0.5000
Ag2 0.0000 0.5000 0.0000
Ag3 0.5000 0.0000 0.0000
Pt1 0.0000 0.0000 0.0000
Se1 0.5000 0.5000 0.5000

## Properties
As for the energy above the most stable polymorph in this dataset: 115 meV/atom. Its spin magnetization is 0.000 μB per atom. For the formation energy from raw total energies, the calculation gives 0.81 eV per atom. The calculated volume comes out at 26.23 Å³/atom. As for the space group: Pm-3m.